No. 1
Density functional theory data (PBE) for a relaxed structure of La3PrTm7.

Unit cell a=6.6911 b=8.6308 c=6.5401 alpha=81.47 beta=95.03 gamma=80.39
Sites, in units of the cell vectors:
Tm  0.7066  0.8539  0.5602
Tm  0.7335  0.5811  0.9870
Tm  0.7773  0.2139  0.2787
Tm  0.2227  0.7861  0.7213
Tm  0.2934  0.1461  0.4398
Tm  0.0000  0.5000  0.5000
Tm  0.2665  0.4189  0.0130
Pr  0.5000  0.5000  0.5000
La  0.0602  0.8395  0.1998
La  0.9398  0.1605  0.8002
La  0.5000  0.0000  0.0000

Output
ΔH_f (0 K) = 0.119 eV per atom
Electronic total energy = -4.505 eV/atom
D(E_F) = 16.56 states/eV/f.u.
Symmetry = P-1

---

No. 2
Density functional theory data (PBE) for a relaxed structure of Sr2Sn.

Unit cell a=5.4138 b=8.3880 c=10.1492 alpha=90.00 beta=90.00 gamma=90.00
Sites, in units of the cell vectors:
Sr  0.2500  0.3425  0.5737
Sr  0.7500  0.6575  0.4263
Sr  0.2500  0.4796  0.1822
Sr  0.7500  0.0204  0.6822
Sr  0.2500  0.9796  0.3178
Sr  0.7500  0.5204  0.8178
Sr  0.2500  0.8425  0.9263
Sr  0.7500  0.1575  0.0737
Sn  0.2500  0.2505  0.8941
Sn  0.7500  0.7495  0.1059
Sn  0.7500  0.2495  0.3941
Sn  0.2500  0.7505  0.6059

Output
ΔH_f (0 K) = -0.628 eV per atom
Electronic total energy = -3.084 eV/atom
D(E_F) = 0.03 states/eV/f.u.
Symmetry = Pnma

---

No. 3
Density functional theory data (PBE) for a relaxed structure of RbU4Ni3Se12.

Unit cell a=8.7741 b=8.7741 c=8.7741 alpha=109.47 beta=109.47 gamma=109.47
Last column: magnetic moment on the atom in μB.
Sites, in units of the cell vectors:
U  0.0000  0.0000  0.5000  1.68
U  0.5000  0.5000  0.5000  1.68
U  0.0000  0.5000  0.0000  1.68
U  0.5000  0.0000  0.0000  1.68
Se  0.8352  0.6731  0.1621  -0.06
Se  0.1648  0.3269  0.8379  -0.06
Se  0.6731  0.1621  0.8352  -0.06
Se  0.1621  0.4891  0.3269  -0.06
Se  0.1621  0.8352  0.6731  -0.06
Se  0.6731  0.8379  0.5109  -0.06
Se  0.5109  0.6731  0.8379  -0.06
Se  0.8379  0.5109  0.6731  -0.06
Se  0.4891  0.3269  0.1621  -0.06
Se  0.3269  0.8379  0.1648  -0.06
Se  0.8379  0.1648  0.3269  -0.06
Se  0.3269  0.1621  0.4891  -0.06
Ni  0.0000  0.5000  0.5000  0.22
Ni  0.5000  0.0000  0.5000  0.22
Ni  0.5000  0.5000  0.0000  0.22
Rb  0.0000  0.0000  0.0000  0.00

Output
Formation energy without anion corrections = -704 meV per atom
Electronic total energy = -5.968 eV/atom
D(E_F) = 21.80 states/eV/f.u.
Symmetry = Im-3

---

No. 4
Density functional theory data (PBE) for a relaxed structure of Pm6Y3Ho.

Unit cell a=10.2238 b=10.2238 c=10.2238 alpha=113.13 beta=113.13 gamma=113.13
Sites, in units of the cell vectors:
Pm  0.1492  0.8502  0.2040
Pm  0.6498  0.3508  0.2960
Pm  0.8502  0.2040  0.1492
Pm  0.3502  0.6492  0.7040
Pm  0.1498  0.7960  0.8508
Pm  0.8508  0.1498  0.7960
Pm  0.7040  0.3502  0.6492
Pm  0.2960  0.6498  0.3508
Pm  0.6492  0.7040  0.3502
Pm  0.3508  0.2960  0.6498
Pm  0.7960  0.8508  0.1498
Pm  0.2040  0.1492  0.8502
Y  0.7500  0.4631  0.0369
Y  0.4631  0.0369  0.7500
Y  0.9631  0.2500  0.5369
Y  0.0369  0.7500  0.4631
Y  0.2500  0.5369  0.9631
Y  0.5369  0.9631  0.2500
Ho  0.7500  0.7500  0.7500
Ho  0.2500  0.2500  0.2500

Output
ΔH_f (0 K) = 0.209 eV per atom
Electronic total energy = -5.038 eV/atom
D(E_F) = 14.22 states/eV/f.u.
Symmetry = R-3c

---

No. 5
Density functional theory data (PBE) for a relaxed structure of NdHoEr2Bi4.

Unit cell a=4.4967 b=7.7784 c=7.7805 alpha=70.51 beta=90.00 gamma=90.00
Sites, in units of the cell vectors:
Nd  0.5000  0.5000  0.0000
Er  0.5000  0.0000  0.5000
Er  0.0000  0.0000  0.0000
Bi  0.0000  0.2424  0.2570
Bi  0.5000  0.7545  0.2530
Bi  0.0000  0.7576  0.7429
Bi  0.5000  0.2455  0.7470
Ho  0.0000  0.5000  0.5000

Output
ΔH_f (0 K) = -0.847 eV per atom
Electronic total energy = -5.097 eV/atom
D(E_F) = 1.24 states/eV/f.u.
Symmetry = P2/m

---

No. 6
Density functional theory data (PBE) for a relaxed structure of Sc2Te5.

Unit cell a=4.3035 b=4.3035 c=21.4941 alpha=90.00 beta=95.75 gamma=90.00
Sites, in units of the cell vectors:
Sc  0.6944  0.7500  0.3887
Sc  0.1028  0.2500  0.2056
Sc  0.3056  0.2500  0.6113
Sc  0.8972  0.7500  0.7944
Te  0.5485  0.2500  0.0970
Te  0.7500  0.2500  0.5000
Te  0.1743  0.2500  0.3485
Te  0.6250  0.7500  0.2499
Te  0.3750  0.2500  0.7501
Te  0.0485  0.7500  0.0970
Te  0.2500  0.7500  0.5000
Te  0.4515  0.7500  0.9030
Te  0.9515  0.2500  0.9030
Te  0.8257  0.7500  0.6515

Output
Formation energy without anion corrections = -774 meV per atom
Electronic total energy = -4.827 eV/atom
D(E_F) = 1.78 states/eV/f.u.
Symmetry = Cmcm

---

No. 7
Density functional theory data (PBE) for a relaxed structure of Cr3Pt5.

Unit cell a=5.2825 b=7.1063 c=7.1063 alpha=95.83 beta=109.70 gamma=70.30
Last column: magnetic moment on the atom in μB.
Sites, in units of the cell vectors:
Cr  0.9909  0.8284  0.5805  2.56
Cr  0.5099  0.5800  0.8288  2.56
Cr  0.4909  0.4200  0.1721  2.56
Cr  0.2504  0.9595  0.9599  -2.42
Cr  0.0099  0.1716  0.4204  2.56
Cr  0.7504  0.0405  0.0409  -2.42
Pt  0.5239  0.0841  0.3263  0.01
Pt  0.2504  0.4635  0.4639  0.02
Pt  0.4770  0.9159  0.6746  0.01
Pt  0.7318  0.7109  0.1914  0.06
Pt  0.7690  0.1909  0.7113  0.06
Pt  0.2318  0.8091  0.2896  0.06
Pt  0.2690  0.2891  0.8095  0.06
Pt  0.7504  0.5365  0.5369  0.02
Pt  0.9769  0.3258  0.0846  0.01
Pt  0.0239  0.6741  0.9163  0.01

Output
ΔH_f (0 K) = -0.194 eV per atom
Electronic total energy = -7.579 eV/atom
D(E_F) = 9.70 states/eV/f.u.
Symmetry = C2/c

---

No. 8
Density functional theory data (PBE) for a relaxed structure of Ac5In2Rh.

Unit cell a=8.0071 b=8.0072 c=7.3155 alpha=123.21 beta=123.21 gamma=89.92
Sites, in units of the cell vectors:
Ac  0.2459  0.7422  0.9883
Ac  0.7422  0.2460  0.9884
Ac  0.7525  0.7525  0.5044
Ac  0.2465  0.2465  0.9896
Ac  0.7429  0.7429  0.9893
In  0.2377  0.7377  0.4754
In  0.7377  0.2377  0.4754
Rh  0.0715  0.0715  0.1433

Output
ΔH_f (0 K) = -0.211 eV per atom
Electronic total energy = -4.382 eV/atom
D(E_F) = 10.22 states/eV/f.u.
Symmetry = I4mm

---

No. 9
Density functional theory data (PBE) for a relaxed structure of Nb2CdInOs.

Unit cell a=5.0473 b=4.8043 c=5.0473 alpha=90.00 beta=90.00 gamma=90.00
Last column: magnetic moment on the atom in μB.
Sites, in units of the cell vectors:
Cd  0.0000  0.5000  0.0000  0.00
Nb  0.5000  0.0000  0.0000  -0.25
Nb  0.0000  0.0000  0.5000  -0.31
Os  0.5000  0.5000  0.5000  1.66
In  0.0000  0.0000  0.0000  0.02

Output
ΔH_f (0 K) = 2.209 eV per atom
Electronic total energy = -4.796 eV/atom
D(E_F) = 5.07 states/eV/f.u.
Symmetry = P4/mmm

---

No. 10
Density functional theory data (PBE) for a relaxed structure of Ho8Er3In.

Unit cell a=3.4331 b=8.7384 c=13.9086 alpha=64.97 beta=97.09 gamma=90.00
Last column: magnetic moment on the atom in μB.
Sites, in units of the cell vectors:
Ho  0.6574  0.1071  0.3149  0.02
Ho  0.5190  0.3717  0.0381  0.06
Ho  0.8551  0.0168  0.7101  0.03
Ho  0.1807  0.7254  0.3614  0.01
Ho  0.8085  0.4847  0.6171  0.03
Ho  0.4770  0.7803  0.9539  0.10
Ho  0.2336  0.2921  0.4673  0.02
Ho  0.2735  0.8698  0.5470  -0.01
Er  0.5607  0.9654  0.1213  0.09
Er  0.4258  0.2050  0.8515  0.13
Er  0.6126  0.5379  0.2253  0.03
In  0.3943  0.6135  0.7887  0.00

Output
ΔH_f (0 K) = 0.112 eV per atom
Electronic total energy = -4.309 eV/atom
D(E_F) = 19.16 states/eV/f.u.
Symmetry = Cm

---

No. 11
Density functional theory data (PBE) for a relaxed structure of KIn4Ga.

Unit cell a=5.5474 b=5.5474 c=7.9503 alpha=90.00 beta=90.00 gamma=90.00
Sites, in units of the cell vectors:
In  0.5000  0.5000  0.8256
In  0.5000  0.5000  0.1744
In  0.0000  0.5000  0.5000
In  0.5000  0.0000  0.5000
Ga  0.5000  0.5000  0.5000
K  0.0000  0.0000  0.0000

Output
ΔH_f (0 K) = 0.263 eV per atom
Electronic total energy = -2.250 eV/atom
D(E_F) = 3.98 states/eV/f.u.
Symmetry = P4/mmm

---

No. 12
Density functional theory data (PBE) for a relaxed structure of Mg4TlAu.

Unit cell a=3.5010 b=7.7612 c=10.1467 alpha=90.00 beta=99.93 gamma=90.00
Sites, in units of the cell vectors:
Tl  0.4350  0.4222  0.8700
Tl  0.5650  0.9222  0.1300
Mg  0.2992  0.5770  0.5985
Mg  0.0420  0.6093  0.0839
Mg  0.5827  0.3013  0.1655
Mg  0.7008  0.0770  0.4015
Mg  0.6797  0.6584  0.3594
Mg  0.3203  0.1584  0.6406
Mg  0.9580  0.1093  0.9161
Mg  0.4173  0.8013  0.8345
Au  0.1900  0.3652  0.3799
Au  0.8100  0.8652  0.6201

Output
ΔH_f (0 K) = -0.196 eV per atom
Electronic total energy = -2.199 eV/atom
D(E_F) = 2.30 states/eV/f.u.
Symmetry = Cmc2_1

---

Question: Look up the electronic total energy of the first one.
Answer: -4.505 eV/atom

---

Question: Which formula does entry 4 have?
Answer: Pm6Y3Ho